Below is MgFe2SbO4 after structural relaxation, with properties calculated at the PBE with a Hubbard U level.

abc: 6.2200 6.2200 7.1133
angles: 119.00 119.00 90.16
Each line ends with the local moment (μB).
Atoms (fractional coordinates):
O: 0.2803 0.3193 0.6014  0.05
O: 0.2773 0.7796 0.5965  0.05
O: 0.7204 0.2227 0.9035  0.05
Mg: 0.0000 0.5000 0.0000  0.00
Fe: 0.0000 0.0000 0.5000  3.74
O: 0.7197 0.6807 0.3986  0.05
Sb: 0.0000 0.0000 0.0000  -0.05
Sb: 0.5000 0.5000 0.5000  -0.05
O: 0.8193 0.7803 0.1014  0.05
Mg: 0.0000 0.5000 0.5000  0.00
Fe: 0.5000 0.5000 0.0000  3.74
Fe: 0.5000 0.0000 0.0000  3.75
O: 0.7227 0.2203 0.4035  0.05
O: 0.1807 0.2197 0.8986  0.05
Fe: 0.5000 0.0000 0.5000  3.75
O: 0.2797 0.7773 0.0965  0.05

Computed properties:
Total magnetization   0.970 μB/atom
E   -5.934 eV/atom
Density of states at the Fermi level   0.0865 states/eV per atom